Entry 1:
Entry from Alexandria via LeMat-Bulk: a relaxed LiMgGaSb crystal (PBE).

Computed properties:
- Uncorrected formation energy: -91 kJ/mol of formula units

Unit cell a=6.984 b=6.984 c=6.984 alpha=90.00 beta=90.00 gamma=90.00
Space group F-43m (No. 216)
Asymmetric unit:
Li: 0.000 0.000 0.000 [4 per cell]
Mg: 0.000 0.000 0.500 [4 per cell]
Ga: 0.250 0.250 0.750 [4 per cell]
Sb: 0.250 0.250 0.250 [4 per cell]

=====

Entry 2:
Entry from Alexandria via LeMat-Bulk: a relaxed LiMg2ScGa crystal (PBE).

Computed properties:
- Energy of formation from the pure elements: 0.9 eV per formula unit

Unit cell a=5.053 b=5.053 c=5.248 alpha=90.00 beta=90.00 gamma=90.00
Space group P4/mmm (No. 123)
Asymmetric unit:
Li: 0.000 0.000 0.000 [1 per cell]
Mg: 0.000 0.500 0.500 [2 per cell]
Sc: 0.500 0.500 0.000 [1 per cell]
Ga: 0.500 0.500 0.500 [1 per cell]

=====

Entry 3:
Entry from Alexandria via LeMat-Bulk: a relaxed LiMgGaSe2 crystal (PBE).

Computed properties:
- Uncorrected formation energy: -19 kJ/mol of formula units

Unit cell a=5.242 b=5.242 c=4.890 alpha=90.00 beta=90.00 gamma=90.00
Space group P4/mmm (No. 123)
Asymmetric unit:
Li: 0.000 0.000 0.000 [1 per cell]
Mg: 0.500 0.500 0.000 [1 per cell]
Ga: 0.500 0.500 0.500 [1 per cell]
Se: 0.000 0.500 0.500 [2 per cell]

=====

Entry 4:
Entry from Alexandria via LeMat-Bulk: a relaxed LiSmMg2Ga4 crystal (PBE).

Computed properties:
- Energy of formation from the pure elements: -2.6 eV per formula unit

Unit cell a=4.6724 b=4.6724 c=25.1999 alpha=90.00 beta=90.00 gamma=120.00
Space group R-3m (No. 166, hexagonal axes)
Asymmetric unit:
Li: 0.0000 0.0000 0.0000 [3 per cell]
Sm: 0.0000 0.0000 0.5000 [3 per cell]
Mg: 0.0000 0.0000 0.2555 [6 per cell]
Ga: 0.0000 0.0000 0.1090 [6 per cell]
Ga: 0.0000 0.0000 0.3712 [6 per cell]

=====

Entry 5:
Entry from Alexandria via LeMat-Bulk: a relaxed LiMgGaSn crystal (PBE).

Computed properties:
- Energy of formation from the pure elements: -0.9 eV per formula unit

Unit cell a=6.897 b=6.897 c=6.897 alpha=90.00 beta=90.00 gamma=90.00
Space group F-43m (No. 216)
Asymmetric unit:
Li: 0.000 0.000 0.000 [4 per cell]
Mg: 0.000 0.000 0.500 [4 per cell]
Ga: 0.250 0.250 0.750 [4 per cell]
Sn: 0.250 0.250 0.250 [4 per cell]

=====

Entry 6:
Entry from Alexandria via LeMat-Bulk: a relaxed Li2Mg2Ga2Sn crystal (PBE).

Computed properties:
- Energy of formation from the pure elements: -1.4 eV per formula unit

Unit cell a=9.281 b=4.248 c=6.931 alpha=90.00 beta=96.53 gamma=90.00
Space group C2/m (No. 12)
Asymmetric unit:
Li: 0.070 0.000 0.195 [4 per cell]
Mg: 0.213 0.000 0.666 [4 per cell]
Ga: 0.145 0.500 0.940 [4 per cell]
Sn: 0.000 0.500 0.500 [2 per cell]

=====

Entry 7:
Entry from Alexandria via LeMat-Bulk: a relaxed SrLi2Mg2Ga2 crystal (PBE).

Computed properties:
- Energy of formation from the pure elements: -1.5 eV per formula unit

Unit cell a=8.620 b=4.757 c=8.514 alpha=90.00 beta=100.41 gamma=90.00
Space group C2/m (No. 12)
Asymmetric unit:
Sr: 0.000 0.000 0.000 [2 per cell]
Li: 0.109 0.500 0.648 [4 per cell]
Mg: 0.219 0.500 0.316 [4 per cell]
Ga: 0.062 0.000 0.374 [4 per cell]

=====

Entry 8:
Entry from Alexandria via LeMat-Bulk: a relaxed SrLiMgGa2 crystal (PBE).

Computed properties:
- Energy of formation from the pure elements: -1.5 eV per formula unit

Unit cell a=4.497 b=4.497 c=11.822 alpha=90.00 beta=90.00 gamma=90.00
Space group I-4m2 (No. 119)
Asymmetric unit:
Sr: 0.000 0.000 0.000 [2 per cell]
Li: 0.000 0.500 0.250 [2 per cell]
Mg: 0.000 0.500 0.750 [2 per cell]
Ga: 0.000 0.000 0.393 [4 per cell]

=====

Entry 9:
Entry from Alexandria via LeMat-Bulk: a relaxed Sr2Li12Mg3Ga crystal (PBE).

Computed properties:
- Energy of formation from the pure elements: 1.0 eV per formula unit

Unit cell a=6.1554 b=6.1554 c=41.0534 alpha=90.00 beta=90.00 gamma=120.00
Space group R-3m (No. 166, hexagonal axes)
Asymmetric unit:
Sr: 0.0000 0.0000 0.1474 [6 per cell]
Li: 0.0144 0.5072 0.6101 [18 per cell]
Li: 0.0201 0.5100 0.1100 [18 per cell]
Mg: 0.0000 0.5000 0.0000 [9 per cell]
Ga: 0.0000 0.0000 0.5000 [3 per cell]

=====

Entry 10:
Entry from Alexandria via LeMat-Bulk: a relaxed SrLiMg2Ga crystal (PBE).

Computed properties:
- Energy of formation from the pure elements: -0.2 eV per formula unit

Unit cell a=5.241 b=5.241 c=5.148 alpha=90.00 beta=90.00 gamma=90.00
Space group P4/mmm (No. 123)
Asymmetric unit:
Sr: 0.000 0.000 0.000 [1 per cell]
Li: 0.500 0.500 0.000 [1 per cell]
Mg: 0.000 0.500 0.500 [2 per cell]
Ga: 0.500 0.500 0.500 [1 per cell]

=====

Entry 11:
Entry from Alexandria via LeMat-Bulk: a relaxed SrLiMg2Ga2 crystal (PBE).

Computed properties:
- Energy of formation from the pure elements: -1.5 eV per formula unit

Unit cell a=4.7009 b=4.7009 c=7.5042 alpha=90.00 beta=90.00 gamma=120.00
Space group P-3m1 (No. 164)
Asymmetric unit:
Sr: 0.0000 0.0000 0.0000 [1 per cell]
Li: 0.0000 0.0000 0.5000 [1 per cell]
Mg: 0.3333 0.6667 0.6564 [2 per cell]
Ga: 0.3333 0.6667 0.2723 [2 per cell]

=====

Entry 12:
Entry from Alexandria via LeMat-Bulk: a relaxed Sr2LiMg2Ga5 crystal (PBE).

Computed properties:
- Energy of formation from the pure elements: -2.3 eV per formula unit

Unit cell a=10.644 b=10.644 c=4.029 alpha=90.00 beta=90.00 gamma=90.00
Space group P4/mbm (No. 127)
Asymmetric unit:
Sr: 0.178 0.322 0.000 [4 per cell]
Li: 0.000 0.000 0.000 [2 per cell]
Mg: 0.121 0.621 0.000 [4 per cell]
Ga: 0.000 0.500 0.500 [2 per cell]
Ga: 0.051 0.817 0.500 [8 per cell]

=====

no.,D(E_F) (states/eV per cell),total magnetic moment (μB/f.u.)
1,6.8,0.00
2,5.2,0.00
3,2.5,0.00
4,7.1,0.00
5,5.7,0.00
6,5.4,0.00
7,4.3,0.00
8,7.0,0.00
9,23.3,0.00
10,2.5,0.00
11,3.4,0.00
12,5.6,0.00